No. 1
Compound: TmSc2PaC4
Source: the Alexandria database
Functional: PBE
Structure: optimized geometry

Unit cell a=3.4753 b=5.9386 c=5.9938 alpha=69.93 beta=90.00 gamma=90.00
Last column: nearest neighbours and their distance in Å.
Fractional positions:
C  0.0000  0.7507  0.7579  3 Sc 2.40-2.46, 2 Pa 2.42, 1 Tm 2.49
C  0.5000  0.2445  0.7595  3 Sc 2.40-2.47, 1 Pa 2.42, 2 Tm 2.47
C  0.0000  0.2493  0.2421  3 Sc 2.40-2.46, 2 Pa 2.42, 1 Tm 2.49
C  0.5000  0.7555  0.2405  3 Sc 2.40-2.47, 1 Pa 2.42, 2 Tm 2.47
Tm  0.0000  0.5000  0.5000  6 C 2.47-2.49
Sc  0.0000  0.0000  0.0000  6 C 2.40
Sc  0.5000  0.0000  0.5000  6 C 2.46-2.47
Pa  0.5000  0.5000  0.0000  6 C 2.42

Summary:
* crystal system: monoclinic
* formation enthalpy at 0 K: -0.2835 eV per atom
* symmetry: No. 10

No. 2
Compound: Sc2PaWC4
Source: the Alexandria database
Functional: PBE
Structure: optimized geometry

Unit cell a=3.3580 b=6.0533 c=11.5533 alpha=90.00 beta=90.00 gamma=106.10
Last column: nearest neighbours and their distance in Å.
Fractional positions:
C  0.5446  0.0891  0.2500  2 W 2.07
C  0.2628  0.5256  0.3742  1 W 1.95
C  0.2628  0.5256  0.1258  1 W 1.95
C  0.0000  0.0000  0.5000  4 Sc 2.28
C  0.7372  0.4744  0.8742  1 W 1.95
C  0.0000  0.0000  0.0000  4 Sc 2.28
C  0.4554  0.9109  0.7500  2 W 2.07
C  0.7372  0.4744  0.6258  1 W 1.95
Sc  0.6278  0.2555  0.4650  3 C 2.25-2.28
Sc  0.3722  0.7445  0.9650  3 C 2.25-2.28
Sc  0.3722  0.7445  0.5350  3 C 2.25-2.28
Sc  0.6278  0.2555  0.0350  3 C 2.25-2.28
W  0.1488  0.2976  0.2500  4 C 1.95-2.07
W  0.8512  0.7024  0.7500  4 C 1.95-2.07
Pa  0.8850  0.7701  0.2500  6 C 2.50-2.63
Pa  0.1150  0.2299  0.7500  6 C 2.50-2.63

Summary:
* crystal system: orthorhombic
* formation enthalpy at 0 K: -0.1729 eV per atom
* symmetry: No. 63

No. 3
Compound: Zr2ScPaC4
Source: the Alexandria database
Functional: PBE
Structure: optimized geometry

Unit cell a=3.4079 b=5.9655 c=5.8710 alpha=70.87 beta=90.00 gamma=90.00
Last column: nearest neighbours and their distance in Å.
Fractional positions:
Sc  0.0000  0.5000  0.5000  6 C 2.44
Zr  0.5000  0.0000  0.5000  6 C 2.39-2.41
Zr  0.0000  0.0000  0.0000  6 C 2.38-2.40
Pa  0.5000  0.5000  0.0000  6 C 2.42-2.44
C  0.5000  0.7541  0.2468  3 Zr 2.40-2.41, 1 Pa 2.42, 2 Sc 2.44
C  0.5000  0.2459  0.7532  3 Zr 2.40-2.41, 1 Pa 2.42, 2 Sc 2.44
C  0.0000  0.2416  0.2521  3 Zr 2.38-2.39, 1 Sc 2.44, 2 Pa 2.44
C  0.0000  0.7584  0.7479  3 Zr 2.38-2.39, 1 Sc 2.44, 2 Pa 2.44

Summary:
* crystal system: monoclinic
* formation enthalpy at 0 K: -0.5980 eV per atom
* symmetry: No. 10

No. 4
Compound: ZrSc2PaC4
Source: the Alexandria database
Functional: PBE
Structure: optimized geometry

Unit cell a=3.4205 b=5.8615 c=5.9694 alpha=69.61 beta=90.00 gamma=90.00
Last column: nearest neighbours and their distance in Å.
Fractional positions:
Sc  0.5000  0.0000  0.5000  6 C 2.42
Sc  0.0000  0.0000  0.0000  6 C 2.42-2.47
C  0.5000  0.2529  0.7460  2 Zr 2.39, 3 Sc 2.42, 1 Pa 2.43
C  0.0000  0.2573  0.2517  1 Zr 2.39, 2 Pa 2.39, 3 Sc 2.42-2.47
C  0.0000  0.7427  0.7483  1 Zr 2.39, 2 Pa 2.39, 3 Sc 2.42-2.47
C  0.5000  0.7471  0.2540  2 Zr 2.39, 3 Sc 2.42, 1 Pa 2.43
Pa  0.5000  0.5000  0.0000  6 C 2.39-2.43
Zr  0.0000  0.5000  0.5000  6 C 2.39

Summary:
* crystal system: monoclinic
* formation enthalpy at 0 K: -0.4669 eV per atom
* symmetry: No. 10

No. 5
Compound: Pa4C3Se
Source: the Alexandria database
Functional: PBE
Structure: optimized geometry

Unit cell a=3.6176 b=3.6176 c=25.7588 alpha=90.00 beta=90.00 gamma=120.00
Last column: nearest neighbours and their distance in Å.
Fractional positions:
C  0.6667  0.3333  0.3841  6 Pa 2.47-2.59
C  0.3333  0.6667  0.6159  6 Pa 2.47-2.59
C  0.0000  0.0000  0.5000  6 Pa 2.54
C  0.3333  0.6667  0.8841  6 Pa 2.47-2.59
C  0.6667  0.3333  0.1159  6 Pa 2.47-2.59
C  0.0000  0.0000  0.0000  6 Pa 2.54
Se  0.6667  0.3333  0.7500  6 Pa 2.99
Se  0.3333  0.6667  0.2500  6 Pa 2.99
Pa  0.3333  0.6667  0.0563  6 C 2.54-2.59
Pa  0.0000  0.0000  0.3328  3 C 2.47
Pa  0.0000  0.0000  0.6672  3 C 2.47
Pa  0.6667  0.3333  0.9437  6 C 2.54-2.59
Pa  0.6667  0.3333  0.5563  6 C 2.54-2.59
Pa  0.3333  0.6667  0.4437  6 C 2.54-2.59
Pa  0.0000  0.0000  0.8328  3 C 2.47
Pa  0.0000  0.0000  0.1672  3 C 2.47

Summary:
* crystal system: hexagonal
* formation energy without anion corrections: -0.68 eV per atom
* symmetry: No. 194

No. 6
Compound: PaCSe
Source: the Alexandria database
Functional: PBE
Structure: optimized geometry

Unit cell a=3.8284 b=4.0312 c=10.2855 alpha=99.09 beta=90.00 gamma=118.35
Last column: nearest neighbours and their distance in Å.
Fractional positions:
Pa  0.5926  0.1852  0.8580  1 C 2.30
Pa  0.4074  0.8148  0.1420  1 C 2.30
Se  0.2130  0.4259  0.6887  3 Pa 2.82-2.93
Se  0.7870  0.5741  0.3113  3 Pa 2.82-2.93
C  0.9071  0.8143  0.9643  1 C 1.39
C  0.0929  0.1857  0.0357  1 C 1.39

Summary:
* crystal system: monoclinic
* formation energy without anion corrections: -0.89 eV per atom
* symmetry: No. 12
* relative energy among the computed polymorphs: 0.000 eV per atom

No. 7
Compound: PaCSe
Source: the Alexandria database
Functional: PBE
Structure: optimized geometry

Unit cell a=3.5114 b=3.5114 c=5.4431 alpha=108.82 beta=108.82 gamma=90.00
Last column: nearest neighbours and their distance in Å.
Fractional positions:
C  0.2520  0.2520  0.5041  1 Se 2.09
Pa  0.7112  0.7112  0.4224  4 C 2.51
Se  0.0368  0.0368  0.0736  1 C 2.09

Summary:
* crystal system: tetragonal
* formation energy without anion corrections: -0.22 eV per atom
* symmetry: No. 107
* relative energy among the computed polymorphs: 0.675 eV per atom

No. 8
Compound: Pa5CSe4
Source: the Alexandria database
Functional: PBE
Structure: optimized geometry

Unit cell a=5.6537 b=6.8917 c=6.8917 alpha=80.31 beta=65.78 gamma=65.78
Last column: nearest neighbours and their distance in Å.
Fractional positions:
Se  0.8097  0.7772  0.6054  6 Pa 2.85-2.99
Se  0.5869  0.6054  0.2228  6 Pa 2.85-2.99
Se  0.1923  0.2228  0.3946  6 Pa 2.85-2.99
Se  0.4151  0.3946  0.7772  6 Pa 2.85-2.99
Pa  0.2654  0.8296  0.6416  1 C 2.49
Pa  0.0950  0.6416  0.1704  1 C 2.49
Pa  0.9070  0.3584  0.8296  1 C 2.49
Pa  0.5011  0.0000  0.0000  2 C 2.83, 4 Se 2.85
Pa  0.7366  0.1704  0.3584  1 C 2.49
C  0.0012  0.0000  0.0000  4 Pa 2.49

Summary:
* crystal system: tetragonal
* formation energy without anion corrections: -1.03 eV per atom
* symmetry: No. 87
* relative energy among the computed polymorphs: 0.000 eV per atom

No. 9
Compound: Pa3CSe3
Source: the Alexandria database
Functional: PBE
Structure: optimized geometry

Unit cell a=7.1015 b=7.1015 c=6.9975 alpha=96.51 beta=96.51 gamma=111.18
Last column: nearest neighbours and their distance in Å.
Fractional positions:
Pa  0.4496  0.1380  0.2979  1 C 2.26
Pa  0.8917  0.8917  0.1916  2 C 2.27-2.32
Pa  0.8620  0.5504  0.7021  1 C 2.26
Pa  0.5504  0.8620  0.7021  1 C 2.26
Pa  0.1380  0.4496  0.2979  1 C 2.26
Pa  0.1083  0.1083  0.8084  2 C 2.27-2.32
C  0.8313  0.8313  0.8605  4 Pa 2.26-2.32
C  0.1687  0.1687  0.1395  4 Pa 2.26-2.32
Se  0.1605  0.8395  0.5000  6 Pa 2.86-2.98
Se  0.8395  0.1605  0.5000  6 Pa 2.86-2.98
Se  0.7419  0.2581  0.0000  4 Pa 3.06-3.08, 2 C 3.38
Se  0.5948  0.5948  0.3445  5 Pa 2.80-3.08, 1 Se 2.90
Se  0.2581  0.7419  0.0000  4 Pa 3.06-3.08, 2 C 3.38
Se  0.4052  0.4052  0.6555  5 Pa 2.80-3.08, 1 Se 2.90

Summary:
* crystal system: monoclinic
* formation energy without anion corrections: -0.94 eV per atom
* symmetry: No. 12

No. 10
Compound: Pa5CSe5
Source: the Alexandria database
Functional: PBE
Structure: optimized geometry

Unit cell a=5.6140 b=6.7958 c=7.9685 alpha=107.58 beta=90.00 gamma=114.40
Last column: nearest neighbours and their distance in Å.
Fractional positions:
Pa  0.1499  0.2997  0.2967  1 C 2.47
Pa  0.8501  0.7003  0.7033  1 C 2.47
Pa  0.5000  0.0000  0.0000  2 C 2.81, 4 Se 2.82-2.87
Pa  0.1569  0.3139  0.8554  1 C 2.57, 3 Se 2.84-2.85
Pa  0.8431  0.6861  0.1446  1 C 2.57, 3 Se 2.84-2.85
C  0.0000  0.0000  0.0000  4 Pa 2.47-2.57
Se  0.3492  0.6985  0.1986  5 Pa 2.82-2.97
Se  0.6508  0.3015  0.8014  5 Pa 2.82-2.97
Se  0.0000  0.0000  0.5000  4 Pa 2.84-2.85
Se  0.3261  0.6522  0.6560  5 Pa 2.83-3.02
Se  0.6739  0.3478  0.3440  5 Pa 2.83-3.02

Summary:
* crystal system: monoclinic
* formation energy without anion corrections: -1.11 eV per atom
* symmetry: No. 12

No. 11
Compound: Pa2CSe2
Source: the Alexandria database
Functional: PBE
Structure: optimized geometry

Unit cell a=5.6723 b=7.1710 c=7.1710 alpha=56.78 beta=66.70 gamma=66.70
Last column: nearest neighbours and their distance in Å.
Fractional positions:
Pa  0.8994  0.3923  0.8089  2 C 2.31
Pa  0.3994  0.8089  0.3923  2 C 2.31
Pa  0.1006  0.6077  0.1911  2 C 2.31
Pa  0.6006  0.1911  0.6077  2 C 2.31
C  0.7500  0.5000  0.5000  4 Pa 2.31
C  0.2500  0.5000  0.5000  4 Pa 2.31
Se  0.1442  0.0045  0.7070  5 Pa 2.90-3.04, 2 C 3.22
Se  0.6442  0.7070  0.0045  5 Pa 2.90-3.04, 2 C 3.22
Se  0.3558  0.2930  0.9955  5 Pa 2.90-3.04, 2 C 3.22
Se  0.8558  0.9955  0.2930  5 Pa 2.90-3.04, 2 C 3.22

Summary:
* crystal system: orthorhombic
* formation energy without anion corrections: -1.02 eV per atom
* symmetry: No. 72
* relative energy among the computed polymorphs: 0.000 eV per atom

No. 12
Compound: Pa2C2Se
Source: the Alexandria database
Functional: PBE
Structure: optimized geometry

Unit cell a=6.2243 b=6.2244 c=6.4200 alpha=112.35 beta=112.16 gamma=102.63
Last column: nearest neighbours and their distance in Å.
Fractional positions:
C  0.7615  0.5115  0.5231  4 Pa 2.32-2.37
C  0.2385  0.4885  0.4769  4 Pa 2.32-2.37
C  0.5115  0.7616  0.0231  4 Pa 2.32-2.37
C  0.4885  0.2384  0.9769  4 Pa 2.32-2.37
Pa  0.1783  0.8215  0.7510  4 C 2.32-2.37
Pa  0.4295  0.5726  0.2510  4 C 2.32-2.37
Pa  0.5705  0.4274  0.7490  4 C 2.32-2.37
Pa  0.8217  0.1785  0.2490  4 C 2.32-2.37
Se  0.8756  0.1256  0.7500  6 Pa 2.95-3.26
Se  0.1244  0.8744  0.2500  6 Pa 2.95-3.26

Summary:
* crystal system: monoclinic
* formation energy without anion corrections: -0.63 eV per atom
* symmetry: No. 15

| no. | total magnetic moment (Bohr magnetons per cell) | calculated density (g/cm³) |
| --- | --- | --- |
| 1 | 0.0 | 7.688 |
| 2 | 0.0 | 8.137 |
| 3 | 0.0 | 7.458 |
| 4 | 0.0 | 6.812 |
| 5 | 0.0 | 11.821 |
| 6 | 0.0 | 7.781 |
| 7 | 0.0 | 8.953 |
| 8 | 0.8 | 11.026 |
| 9 | 0.1 | 9.705 |
| 10 | 0.0 | 9.930 |
| 11 | 0.7 | 9.629 |
| 12 | 0.0 | 9.720 |